1.
# CaSm4Er3S8

A relaxed CaSm4Er3S8 crystal (PBE, Alexandria via LeMat-Bulk).

It has space group R-3m (No. 166, hexagonal axes), with a = 7.8733 Å, b = 7.8733 Å, c = 19.5388 Å, α = 90.00°, β = 90.00° and γ = 120.00°. The inequivalent atoms are Ca at (0.0000, 0.0000, 0.0000), Sm at (0.0000, 0.0000, 0.5000), Sm at (0.0000, 0.5000, 0.5000), Er at (0.0000, 0.5000, 0.0000), S at (0.0000, 0.0000, 0.2547) and S at (0.0030, 0.5015, 0.2540).

The spin magnetization is 0.000 μB/f.u. The energy relative to the elements, uncorrected comes out at -2005 meV per atom. The calculation puts the total energy at -6.23 eV per atom.


2.
# LiCoAs6

A relaxed LiCoAs6 crystal (PBE, Alexandria via LeMat-Bulk).

It has space group C2/m (No. 12), with a = 11.849 Å, b = 8.207 Å, c = 8.616 Å, α = 90.00°, β = 131.21° and γ = 90.00°. The inequivalent atoms are Li at (0.250, 0.250, 0.000), Co at (0.250, 0.250, 0.500), As at (0.027, 0.151, 0.174), As at (0.139, 0.500, 0.760), As at (0.140, 0.164, 0.637) and As at (0.142, 0.500, 0.474).

The spin magnetization is 0.000 μB/f.u. The calculation puts the total energy at -4.74 eV per atom. The calculation puts the calculated formation energy at -0.13 eV/atom.


3.
# Th2GaRh

A relaxed Th2GaRh crystal (PBE, Alexandria via LeMat-Bulk).

It has space group R-3m (No. 166, hexagonal axes), with a = 3.9221 Å, b = 3.9221 Å, c = 28.9745 Å, α = 90.00°, β = 90.00° and γ = 120.00°. The inequivalent atoms are Th at (0.0000, 0.0000, 0.1084), Ga at (0.0000, 0.0000, 0.0000) and Rh at (0.0000, 0.0000, 0.5000).

The spin magnetization is 0.000 μB/f.u. The calculation puts the total energy at -6.40 eV per atom. The calculation puts the calculated formation energy at -0.10 eV/atom.


4.
# LiPrTmHg

A relaxed LiPrTmHg crystal (PBE, Alexandria via LeMat-Bulk).

It has space group F-43m (No. 216), with a = 7.498 Å, b = 7.498 Å, c = 7.498 Å, α = 90.00°, β = 90.00° and γ = 90.00°. The inequivalent atoms are Li at (0.000, 0.000, 0.000), Pr at (0.250, 0.250, 0.750), Tm at (0.250, 0.250, 0.250) and Hg at (0.000, 0.000, 0.500).

The spin magnetization is 0.210 μB/f.u. The calculation puts the total energy at -3.06 eV per atom. The calculation puts the calculated formation energy at -0.19 eV/atom.


5.
# Cs5Th2F12

A relaxed Cs5Th2F12 crystal (PBE, Alexandria via LeMat-Bulk).

It has space group C2/m (No. 12), with a = 14.634 Å, b = 8.398 Å, c = 8.094 Å, α = 90.00°, β = 107.71° and γ = 90.00°. The inequivalent atoms are Cs at (0.000, 0.000, 0.000), Cs at (0.165, 0.500, 0.052), Cs at (0.240, 0.000, 0.433), Th at (0.000, 0.251, 0.500), F at (0.025, 0.000, 0.365), F at (0.072, 0.500, 0.639), F at (0.079, 0.302, 0.302) and F at (0.151, 0.197, 0.672).

The spin magnetization is 0.001 μB/f.u. The energy relative to the elements, uncorrected comes out at -3361 meV per atom. The calculation puts the total energy at -5.55 eV per atom.


6.
# Na3CeNp3S8

A relaxed Na3CeNp3S8 crystal (PBE, Alexandria via LeMat-Bulk).

It has space group R-3m (No. 166, hexagonal axes), with a = 8.0735 Å, b = 8.0735 Å, c = 19.9421 Å, α = 90.00°, β = 90.00° and γ = 120.00°. The inequivalent atoms are Na at (0.0000, 0.5000, 0.0000), Ce at (0.0000, 0.0000, 0.5000), Np at (0.0000, 0.5000, 0.5000), S at (0.0000, 0.0000, 0.2411) and S at (0.0041, 0.5021, 0.7593).

The spin magnetization is 12.000 μB/f.u. The energy relative to the elements, uncorrected comes out at -1453 meV per atom. The calculation puts the total energy at -6.90 eV per atom.


7.
# TlCdPd14

A relaxed TlCdPd14 crystal (PBE, Alexandria via LeMat-Bulk).

It has space group P4/mmm (No. 123), with a = 5.678 Å, b = 5.678 Å, c = 7.949 Å, α = 90.00°, β = 90.00° and γ = 90.00°. The inequivalent atoms are Tl at (0.000, 0.000, 0.000), Cd at (0.500, 0.500, 0.000), Pd at (0.000, 0.000, 0.500), Pd at (0.000, 0.500, 0.000), Pd at (0.000, 0.500, 0.500), Pd at (0.251, 0.251, 0.255) and Pd at (0.500, 0.500, 0.500).

The spin magnetization is 0.003 μB/f.u. The calculation puts the total energy at -4.85 eV per atom. The calculation puts the calculated formation energy at -0.10 eV/atom.


8.
# In2BiBr

A relaxed In2BiBr crystal (PBE, Alexandria via LeMat-Bulk).

It has space group P4/mmm (No. 123), with a = 5.757 Å, b = 5.757 Å, c = 3.594 Å, α = 90.00°, β = 90.00° and γ = 90.00°. The inequivalent atoms are In at (0.000, 0.500, 0.000), Bi at (0.000, 0.000, 0.500) and Br at (0.500, 0.500, 0.500).

The spin magnetization is 0.000 μB/f.u. The energy relative to the elements, uncorrected comes out at -220 meV per atom. The calculation puts the total energy at -2.98 eV per atom.


9.
# YAgMo2

A relaxed YAgMo2 crystal (PBE, Alexandria via LeMat-Bulk).

It has space group Cmmm (No. 65), with a = 5.670 Å, b = 9.529 Å, c = 2.785 Å, α = 90.00°, β = 90.00° and γ = 90.00°. The inequivalent atoms are Y at (0.000, 0.000, 0.000), Ag at (0.000, 0.500, 0.000) and Mo at (0.250, 0.250, 0.500).

The spin magnetization is 0.000 μB/f.u. The calculation puts the total energy at -7.17 eV per atom. The calculation puts the calculated formation energy at 0.58 eV/atom.


10.
# ZnGe

A relaxed ZnGe crystal (PBE, Alexandria via LeMat-Bulk).

It has space group P6_3/m (No. 176), with a = 9.7068 Å, b = 9.7068 Å, c = 3.9625 Å, α = 90.00°, β = 90.00° and γ = 120.00°. The inequivalent atoms are Zn at (0.1928, 0.4832, 0.2500) and Ge at (0.0067, 0.6019, 0.2500).

The spin magnetization is 0.000 μB/f.u. The calculation puts the total energy at -2.74 eV per atom. The calculation puts the calculated formation energy at 0.20 eV/atom.


11.
# Al2Cu2Pt3

A relaxed Al2Cu2Pt3 crystal (PBE, Alexandria via LeMat-Bulk).

It has space group P-1 (No. 2), with a = 4.259 Å, b = 4.264 Å, c = 7.204 Å, α = 107.18°, β = 90.07° and γ = 119.83°. The inequivalent atoms are Al at (0.108, 0.216, 0.323), Cu at (0.366, 0.736, 0.102), Pt at (0.241, 0.483, 0.726) and Pt at (0.500, 0.000, 0.500).

The spin magnetization is 0.000 μB/f.u. The calculation puts the total energy at -5.41 eV per atom. The calculation puts the calculated formation energy at -0.58 eV/atom.